[1]
# MnP2Br

A relaxed structure of MnP2Br (PBE, Alexandria).

Lattice parameters (Å, degrees): 3.321 7.241 8.982 90.00 90.00 90.00
Space group Cmm2 (No. 35)
Unique sites:
Mn 0.000 0.000 0.000 [2 per cell]
P 0.000 0.000 0.362 [2 per cell]
P 0.000 0.500 0.208 [2 per cell]
Br 0.000 0.500 0.791 [2 per cell]

Values from the calculation:
ΔE_f (raw): 0.147 eV per atom
VASP energy: -42.15 eV per cell
Excess energy over the best structure of this formula in the dataset: 215.1 meV/atom



[2]
# LaIrOs2

A relaxed structure of LaIrOs2 (PBE, Alexandria).

Lattice parameters (Å, degrees): 9.596 2.913 5.427 90.00 101.49 90.00
Space group C2/m (No. 12)
Unique sites:
La 0.000 0.000 0.000 [2 per cell]
Ir 0.000 0.500 0.500 [2 per cell]
Os 0.233 0.000 0.684 [4 per cell]

Values from the calculation:
E_form: 1.300 eV/f.u.
VASP energy: -69.90 eV per cell
Excess energy over the best structure of this formula in the dataset: 133.3 meV/atom



[3]
# ZrNb2P

A relaxed structure of ZrNb2P (PBE, Alexandria).

Lattice parameters (Å, degrees): 3.548 10.007 8.044 90.00 90.00 90.00
Space group Cmcm (No. 63)
Unique sites:
Zr 0.000 0.042 0.250 [4 per cell]
Nb 0.000 0.351 0.054 [8 per cell]
P 0.000 0.245 0.750 [4 per cell]

Values from the calculation:
E_form: -3.155 eV/f.u.
VASP energy: -149.01 eV per cell



[4]
# Sc2NbP

A relaxed structure of Sc2NbP (PBE, Alexandria).

Lattice parameters (Å, degrees): 7.855 7.855 5.170 90.00 90.00 90.00
Space group I-42d (No. 122)
Unique sites:
Sc 0.189 0.250 0.125 [8 per cell]
Nb 0.000 0.000 0.500 [4 per cell]
P 0.000 0.000 0.000 [4 per cell]

Values from the calculation:
E_form: -0.679 eV/f.u.
VASP energy: -115.29 eV per cell



[5]
# NpIBr4

A relaxed structure of NpIBr4 (PBE, Alexandria).

Lattice parameters (Å, degrees): 6.069 14.942 7.206 90.00 115.04 90.00
Space group P2_1/c (No. 14)
Unique sites:
Np 0.000 0.000 0.000 [2 per cell]
I 0.500 0.000 0.000 [2 per cell]
Br 0.140 0.129 0.276 [4 per cell]
Br 0.149 0.621 0.795 [4 per cell]

Values from the calculation:
ΔE_f (raw): -0.936 eV per atom
VASP energy: -53.60 eV per cell
Excess energy over the best structure of this formula in the dataset: 0.0 meV/atom



[6]
# LaMoSe3

A relaxed structure of LaMoSe3 (PBE, Alexandria).

Lattice parameters (Å, degrees): 5.715 5.715 5.715 90.00 90.00 90.00
Space group Pm-3m (No. 221)
Unique sites:
La 0.000 0.000 0.000 [1 per cell]
Mo 0.500 0.500 0.500 [1 per cell]
Se 0.000 0.000 0.500 [3 per cell]

Values from the calculation:
ΔE_f (raw): 0.399 eV per atom
VASP energy: -24.22 eV per cell
Excess energy over the best structure of this formula in the dataset: 1112.0 meV/atom



[7]
# Ac2PrSb3

A relaxed structure of Ac2PrSb3 (PBE, Alexandria).

Lattice parameters (Å, degrees): 4.723 6.685 14.160 90.00 90.00 90.00
Space group Immm (No. 71)
Unique sites:
Ac 0.000 0.000 0.168 [4 per cell]
Pr 0.000 0.000 0.500 [2 per cell]
Sb 0.000 0.500 0.160 [4 per cell]
Sb 0.000 0.500 0.500 [2 per cell]

Values from the calculation:
ΔE_f (raw): -1.195 eV per atom
VASP energy: -65.07 eV per cell
Excess energy over the best structure of this formula in the dataset: 3.8 meV/atom



[8]
# KSrFe2Ni

A relaxed structure of KSrFe2Ni (PBE, Alexandria).

Lattice parameters (Å, degrees): 4.705 4.705 5.577 90.00 90.00 90.00
Space group P4/mmm (No. 123)
Unique sites:
K 0.000 0.000 0.000 [1 per cell]
Sr 0.000 0.000 0.500 [1 per cell]
Fe 0.000 0.500 0.000 [2 per cell]
Ni 0.500 0.500 0.500 [1 per cell]

Values from the calculation:
E_form: 10.717 eV/f.u.
VASP energy: -14.77 eV per cell



[9]
# LiCa2MgRh

A relaxed structure of LiCa2MgRh (PBE, Alexandria).

Lattice parameters (Å, degrees): 5.461 5.461 5.091 90.00 90.00 90.00
Space group P4/mmm (No. 123)
Unique sites:
Li 0.000 0.000 0.000 [1 per cell]
Ca 0.000 0.500 0.500 [2 per cell]
Mg 0.500 0.500 0.000 [1 per cell]
Rh 0.500 0.500 0.500 [1 per cell]

Values from the calculation:
E_form: -0.718 eV/f.u.
VASP energy: -15.58 eV per cell
Excess energy over the best structure of this formula in the dataset: 0.0 meV/atom



[10]
# MgAg2Au

A relaxed structure of MgAg2Au (PBE, Alexandria).

Lattice parameters (Å, degrees): 3.0251 3.0251 27.7969 90.00 90.00 120.00
Space group R-3m (No. 166, hexagonal axes)
Unique sites:
Mg 0.0000 0.0000 0.0000 [3 per cell]
Ag 0.0000 0.0000 0.2516 [6 per cell]
Au 0.0000 0.0000 0.5000 [3 per cell]

Values from the calculation:
E_form: -0.312 eV/f.u.
VASP energy: -32.66 eV per cell



[11]
# Ba3NaSn2

A relaxed structure of Ba3NaSn2 (PBE, Alexandria).

Lattice parameters (Å, degrees): 6.0904 6.0904 15.0137 90.00 90.00 120.00
Space group P-3m1 (No. 164)
Unique sites:
Ba 0.0000 0.0000 0.2349 [2 per cell]
Ba 0.3333 0.6667 0.4227 [2 per cell]
Ba 0.3333 0.6667 0.9323 [2 per cell]
Na 0.3333 0.6667 0.6826 [2 per cell]
Sn 0.0000 0.0000 0.0000 [1 per cell]
Sn 0.0000 0.0000 0.5000 [1 per cell]
Sn 0.3333 0.6667 0.1868 [2 per cell]

Values from the calculation:
E_form: -2.743 eV/f.u.
VASP energy: -35.67 eV per cell



[12]
# KUTe4

A relaxed structure of KUTe4 (PBE, Alexandria).

Lattice parameters (Å, degrees): 6.869 6.869 8.871 90.00 90.00 90.00
Space group P4/nbm (No. 125, origin choice 2)
Unique sites:
K 0.250 0.250 0.000 [2 per cell]
U 0.250 0.250 0.500 [2 per cell]
Te 0.099 0.599 0.296 [8 per cell]

Values from the calculation:
ΔE_f (raw): -0.624 eV per atom
VASP energy: -57.40 eV per cell
Excess energy over the best structure of this formula in the dataset: 0.0 meV/atom